1.
Below is a relaxed Tb4Pm7Y crystal, with properties calculated at the PBE level.

## Properties
The volume is 402 Å³ per cell. The formation energy is 0.00 eV/atom. For the distance to the lowest polymorph of the same formula, the calculation gives 0.0 meV per atom. The value obtained for the magnetization is 0.00 μB/f.u. As for the crystal system: triclinic.

CIF file:
```
data_Tb4Pm7Y
_chemical_formula_sum 'Tb4 Pm7 Y1'
_space_group_name_H-M_alt 'P -1'
_space_group_IT_number 2
_space_group_name_Hall '-P 1'
_cell_length_a 6.315
_cell_length_b 7.288
_cell_length_c 8.991
_cell_angle_alpha 89.99
_cell_angle_beta 76.48
_cell_angle_gamma 90.00
loop_
_atom_site_label
_atom_site_fract_x
_atom_site_fract_y
_atom_site_fract_z
Tb1 0.221 0.000 0.334
Tb2 0.278 0.248 0.667
Pm1 0.000 0.000 0.000
Pm2 0.222 0.500 0.335
Pm3 0.279 0.751 0.666
Pm4 0.499 0.248 0.999
Y1 0.000 0.500 0.000
```


2.
Below is a relaxed Nb2AgSe4 crystal, with properties calculated at the PBE level.

## Properties
The volume is 644 Å³ per cell. The uncorrected formation energy is -4.0 eV/f.u. The value obtained for the magnetization is 0.00 μB/f.u. As for the crystal system: monoclinic.

CIF file:
```
data_Nb2AgSe4
_chemical_formula_sum 'Nb8 Ag4 Se16'
_space_group_name_H-M_alt 'C 1 m 1'
_space_group_IT_number 8
_space_group_name_Hall 'C -2y'
_cell_length_a 12.676
_cell_length_b 7.759
_cell_length_c 7.769
_cell_angle_alpha 90.00
_cell_angle_beta 122.59
_cell_angle_gamma 90.00
loop_
_atom_site_label
_atom_site_fract_x
_atom_site_fract_y
_atom_site_fract_z
Nb1 0.000 0.000 0.000
Nb2 0.021 0.000 0.586
Nb3 0.220 0.220 0.579
Ag1 0.134 0.500 0.014
Ag2 0.414 0.000 0.262
Se1 0.235 0.000 0.331
Se2 0.251 0.500 0.815
Se3 0.260 0.000 0.854
Se4 0.260 0.500 0.397
Se5 0.480 0.249 0.779
Se6 0.490 0.301 0.293
```


3.
Below is a relaxed GdTmHfTh crystal, with properties calculated at the PBE level.

## Properties
The volume is 458 Å³ per cell. The formation energy is 0.19 eV/atom. The value obtained for the magnetization is 7.47 μB/f.u. As for the crystal system: cubic.

CIF file:
```
data_GdTmHfTh
_chemical_formula_sum 'Gd4 Tm4 Hf4 Th4'
_space_group_name_H-M_alt 'F -4 3 m'
_space_group_IT_number 216
_space_group_name_Hall 'F -4 2 3'
_cell_length_a 7.711
_cell_length_b 7.711
_cell_length_c 7.711
_cell_angle_alpha 90.00
_cell_angle_beta 90.00
_cell_angle_gamma 90.00
loop_
_atom_site_label
_atom_site_fract_x
_atom_site_fract_y
_atom_site_fract_z
Gd1 0.000 0.000 0.000
Tm1 0.250 0.250 0.250
Hf1 0.250 0.250 0.750
Th1 0.000 0.000 0.500
```


Which value of magnetization does entry 1 give? 0.00 μB/f.u.